No. 1
Below is crystalline LiTbY2Te4 at its relaxed geometry, with properties calculated at the PBE level.

Structure (POSCAR):
```
LiTbY2Te4
1.0
7.536 0.000 0.000
0.000 4.326 0.000
-2.479 0.000 7.119
Li Tb Y Te
1 1 2 4
Cartesian
0.000 0.000 0.000
-1.239 2.163 3.559
2.529 0.000 3.559
3.768 2.163 0.000
1.226 2.163 1.721
-0.025 0.000 5.381
5.083 0.000 1.738
3.831 2.163 5.398
```

E: -42.7 eV for the cell shown
M_tot: 0.00 μB per cell
calculated volume: 29.01 Å³ per atom
ΔE_f (raw): -1329.0 meV/atom
crystal system: monoclinic
D(E_F): 3.26 states/eV per cell

---

No. 2
Below is crystalline LiTb2Y3Te6 at its relaxed geometry, with properties calculated at the PBE level.

Structure (POSCAR):
```
LiTb2Y3Te6
1.0
9.491 -2.174 0.000
9.491 2.174 0.000
-2.001 0.000 8.470
Li Tb Y Te
1 2 3 6
Cartesian
0.000 0.000 0.000
4.957 0.000 5.591
12.024 0.000 2.879
-1.000 0.000 4.235
5.943 0.000 1.430
11.039 0.000 7.039
2.907 0.000 0.681
1.960 0.000 4.951
9.010 0.000 2.045
7.972 0.000 6.425
15.021 0.000 3.519
14.074 0.000 7.789
```

E: -65.4 eV for the cell shown
M_tot: 0.00 μB per cell
calculated volume: 29.12 Å³ per atom
ΔE_f (raw): -1328.7 meV/atom
crystal system: monoclinic
D(E_F): 4.15 states/eV per cell

---

No. 3
Below is crystalline LiTb3Y2Te6 at its relaxed geometry, with properties calculated at the PBE level.

Structure (POSCAR):
```
LiTb3Y2Te6
1.0
9.491 -2.175 0.000
9.491 2.175 0.000
-2.003 0.000 8.471
Li Tb Y Te
1 3 2 6
Cartesian
0.000 0.000 0.000
-1.001 0.000 4.235
5.947 0.000 1.434
11.033 0.000 7.037
4.962 0.000 5.600
12.018 0.000 2.871
2.906 0.000 0.683
1.972 0.000 4.939
9.014 0.000 2.040
7.966 0.000 6.431
15.008 0.000 3.532
14.074 0.000 7.787
```

E: -63.5 eV for the cell shown
M_tot: 0.00 μB per cell
calculated volume: 29.15 Å³ per atom
ΔE_f (raw): -1326.3 meV/atom
crystal system: monoclinic
D(E_F): 4.17 states/eV per cell

---

No. 4
Below is crystalline Li3TbY2Te6 at its relaxed geometry, with properties calculated at the PBE level.

Structure (POSCAR):
```
Li3TbY2Te6
1.0
3.766 -6.523 0.000
3.766 6.523 0.000
-2.512 0.000 7.064
Li Tb Y Te
3 1 2 6
Cartesian
0.000 0.000 0.000
3.766 2.178 0.000
3.766 -2.178 0.000
2.510 0.000 3.532
2.510 4.349 3.532
2.510 -4.349 3.532
1.252 2.179 1.725
-0.006 0.000 5.341
1.252 -2.179 1.725
3.768 2.179 5.339
5.026 0.000 1.723
3.768 -2.179 5.339
```

E: -57.8 eV for the cell shown
M_tot: 0.00 μB per cell
calculated volume: 28.92 Å³ per atom
ΔE_f (raw): -1303.5 meV/atom
crystal system: monoclinic

---

No. 5
Below is crystalline LiTbYTe3 at its relaxed geometry, with properties calculated at the PBE level.

Structure (POSCAR):
```
LiTbYTe3
1.0
8.924 0.000 0.000
0.000 4.217 0.000
-2.268 0.000 9.203
Li Tb Y Te
2 2 2 6
Cartesian
0.567 1.054 0.786
6.089 3.162 8.417
2.225 3.162 3.108
4.432 1.054 6.095
-0.002 1.054 6.726
6.658 3.162 2.477
-0.064 1.054 3.470
-0.171 3.162 9.156
2.229 3.162 6.218
4.427 1.054 2.985
6.828 1.054 0.047
6.720 3.162 5.733
```

E: -59.8 eV for the cell shown
M_tot: 0.00 μB per cell
calculated volume: 28.86 Å³ per atom
ΔE_f (raw): -1242.5 meV/atom
crystal system: monoclinic
D(E_F): 5.57 states/eV per cell

---

No. 6
Below is crystalline Li4Tb3ZrTe8 at its relaxed geometry, with properties calculated at the PBE level.

Structure (POSCAR):
```
Li4Tb3ZrTe8
1.0
4.275 2.468 7.079
-4.275 2.468 7.079
0.000 -4.936 7.079
Li Tb Zr Te
4 3 1 8
Cartesian
0.000 0.000 0.000
-2.137 -1.234 7.079
-2.137 1.234 14.158
0.000 2.468 7.079
-4.275 0.000 10.619
-2.137 1.234 3.540
2.137 1.234 3.540
0.000 0.000 10.619
0.000 0.000 5.385
0.000 -2.383 8.822
-2.064 1.192 8.822
-2.064 -1.192 12.416
2.064 1.192 8.822
2.064 -1.192 12.416
0.000 2.383 12.416
0.000 0.000 15.853
```

E: -74.1 eV for the cell shown
M_tot: 0.00 μB per cell
calculated volume: 28.01 Å³ per atom
ΔE_f (raw): -1181.9 meV/atom
crystal system: trigonal
D(E_F): 4.43 states/eV per cell